Entry A
{"formula": "Dy4Pb2N", "functional": "GGA-PBE", "state": "optimized geometry", "cell": [[-2.5095, 5.7875, -1.7483], [-6.1722, -2.7771, -0.3338], [-0.0571, -0.9774, 9.1877]], "species": ["Dy", "Dy", "Dy", "Dy", "Dy", "Dy", "Dy", "Dy", "Pb", "Pb", "Pb", "Pb", "N", "N"], "frac_coords": [[0.5238, 0.5030, 0.2821], [0.1360, 0.7500, 0.9538], [0.8640, 0.2500, 0.0462], [0.5238, 0.9970, 0.2821], [0.9230, 0.2500, 0.6569], [0.4762, 0.0030, 0.7179], [0.4762, 0.4970, 0.7179], [0.0770, 0.7500, 0.3431], [0.6941, 0.7500, 0.0300], [0.3059, 0.2500, 0.9700], [0.1765, 0.2500, 0.4080], [0.8235, 0.7500, 0.5920], [0.2959, 0.7500, 0.2090], [0.7041, 0.2500, 0.7910]]}

=====

Entry B
{"formula": "Dy4Pb2N", "functional": "GGA-PBE", "state": "optimized geometry", "cell": [[4.7516, 0.0000, 0.0000], [0.0000, 4.7516, 0.0000], [2.3758, 2.3758, 8.0334]], "species": ["Pb", "Pb", "N", "Dy", "Dy", "Dy", "Dy"], "frac_coords": [[0.6446, 0.6446, 0.7108], [0.3554, 0.3554, 0.2892], [0.0000, 0.0000, 0.0000], [0.8439, 0.8439, 0.3121], [0.1561, 0.1561, 0.6879], [0.0000, 0.5000, 0.0000], [0.5000, 0.0000, 0.0000]]}

=====

Relative energies with respect to the most stable structure, expressed in kJ/mol of atoms: entry A 4.7; entry B 0.0.

=====

Entry A
{"formula": "PmDyN", "functional": "GGA-PBE", "state": "optimized geometry", "cell": [[3.4037, 0.0000, 0.0000], [0.0000, 3.2906, 0.0000], [0.0000, 1.6453, 13.2939]], "species": ["Dy", "Dy", "Pm", "Pm", "N", "N"], "frac_coords": [[0.7500, 0.4440, 0.1121], [0.2500, 0.5560, 0.8879], [0.7500, 0.2984, 0.4033], [0.2500, 0.7016, 0.5967], [0.7500, 0.0523, 0.8955], [0.2500, 0.9477, 0.1045]]}

=====

Entry B
{"formula": "PmDyN", "functional": "GGA-PBE", "state": "optimized geometry", "cell": [[-0.2868, 0.6713, -4.2517], [-1.9300, -2.9218, -2.5197], [-3.8235, 0.8853, -1.7909]], "species": ["N", "Pm", "Dy"], "frac_coords": [[0.2500, 0.2500, 0.2500], [0.5000, 0.5000, 0.5000], [0.0000, 0.0000, 0.0000]]}

=====

Relative energies with respect to the most stable structure, expressed in kJ/mol of atoms: entry A 0.0; entry B 10.1.

=====

Entry A
{"formula": "PmDy3N4", "functional": "GGA-PBE", "state": "optimized geometry", "cell": [[4.9663, 0.0000, 0.0000], [0.0000, 4.9663, 0.0000], [0.0000, 0.0000, 4.9663]], "species": ["Pm", "Dy", "Dy", "Dy", "N", "N", "N", "N"], "frac_coords": [[0.0000, 0.0000, 0.0000], [0.0000, 0.5000, 0.5000], [0.5000, 0.0000, 0.5000], [0.5000, 0.5000, 0.0000], [0.5000, 0.0000, 0.0000], [0.0000, 0.5000, 0.0000], [0.0000, 0.0000, 0.5000], [0.5000, 0.5000, 0.5000]]}

=====

Entry B
{"formula": "PmDy3N4", "functional": "GGA-PBE", "state": "optimized geometry", "cell": [[6.0771, 0.0558, 0.0000], [-2.0774, 5.7126, 0.0000], [0.0000, 0.0000, 7.0242]], "species": ["N", "N", "N", "N", "N", "N", "N", "N", "Dy", "Dy", "Dy", "Dy", "Dy", "Dy", "Pm", "Pm"], "frac_coords": [[0.0042, 0.2520, 0.6230], [0.4986, 0.2565, 0.8692], [0.5042, 0.2520, 0.3770], [0.9986, 0.2565, 0.1308], [0.0014, 0.7435, 0.8692], [0.4958, 0.7480, 0.6230], [0.5014, 0.7435, 0.1308], [0.9958, 0.7480, 0.3770], [0.7500, 0.0000, 0.3758], [0.2500, 0.0000, 0.6242], [0.7500, 0.5000, 0.6243], [0.7500, 0.5000, 0.1277], [0.2500, 0.5000, 0.3757], [0.2500, 0.5000, 0.8723], [0.7500, 0.0000, 0.8732], [0.2500, 0.0000, 0.1268]]}

=====

Relative energies with respect to the most stable structure, expressed in kJ/mol of atoms: entry A 0.8; entry B 0.0.

=====

Entry A
{"formula": "PrDyN", "functional": "GGA-PBE", "state": "optimized geometry", "cell": [[4.3636, 0.0000, 0.0000], [2.1818, 3.7790, 0.0000], [2.1818, 1.2597, 3.5628]], "species": ["Pr", "N", "Dy"], "frac_coords": [[0.0000, 0.0000, 0.0000], [0.2500, 0.2500, 0.2500], [0.5000, 0.5000, 0.5000]]}

=====

Entry B
{"formula": "PrDyN", "functional": "GGA-PBE", "state": "optimized geometry", "cell": [[6.3408, 0.0000, 0.0000], [0.0000, 3.5621, 0.0000], [0.0000, -1.7811, 3.0849]], "species": ["Pr", "N", "Dy"], "frac_coords": [[0.7715, 0.6667, 0.3333], [0.0228, 0.0000, 0.0000], [0.2058, 0.3333, 0.6667]]}

=====

Relative energies with respect to the most stable structure, expressed in kJ/mol of atoms: entry A 62.0; entry B 0.0.

=====

Entry A
{"formula": "Dy2PuN", "functional": "GGA-PBE", "state": "optimized geometry", "cell": [[-2.9871, -1.5392, -0.5676], [-0.9032, -0.8495, -3.1744], [2.8486, -9.2396, -0.1673]], "species": ["N", "Dy", "Dy", "Pu"], "frac_coords": [[0.5000, 0.5000, 0.5000], [0.1190, 0.1190, 0.6431], [0.8810, 0.8810, 0.3569], [0.0000, 0.0000, 0.0000]]}

=====

Entry B
{"formula": "Dy2PuN", "functional": "GGA-PBE", "state": "optimized geometry", "cell": [[-2.5910, 1.3793, -1.0150], [-1.6058, -1.3173, 2.3092], [1.6681, 6.8717, 5.0799]], "species": ["N", "Dy", "Dy", "Pu"], "frac_coords": [[0.5000, 0.5000, 0.0000], [0.0000, 0.0000, 0.8364], [0.0000, 0.0000, 0.1636], [0.5000, 0.5000, 0.5000]]}

=====

Relative energies with respect to the most stable structure, expressed in kJ/mol of atoms: entry A 0.0; entry B 40.2.

=====

Entry A
{"formula": "Dy2ReN4", "functional": "GGA-PBE", "state": "optimized geometry", "cell": [[5.7156, -0.0372, 3.2690], [-1.8324, 5.4140, 3.2690], [0.0297, 0.0412, 6.5838]], "species": ["Dy", "Dy", "Dy", "Dy", "Re", "Re", "N", "N", "N", "N", "N", "N", "N", "N"], "frac_coords": [[0.5000, 0.5000, 0.5000], [0.5000, 0.0000, 0.5000], [0.0000, 0.0000, 0.0000], [0.5000, 0.0000, 0.0000], [0.8750, 0.6250, 0.7500], [0.1250, 0.3750, 0.2500], [0.2401, 0.7203, 0.0193], [0.7599, 0.2797, 0.9807], [0.2203, 0.7401, 0.5193], [0.2395, 0.2595, 0.4807], [0.2405, 0.2605, 0.0193], [0.7605, 0.7405, 0.5193], [0.7797, 0.2599, 0.4807], [0.7595, 0.7395, 0.9807]]}

=====

Entry B
{"formula": "Dy2ReN4", "functional": "GGA-PBE", "state": "optimized geometry", "cell": [[5.8450, 0.0000, 0.0867], [0.0000, 5.8548, 0.0000], [-2.0490, 0.0000, 6.1468]], "species": ["Dy", "Dy", "Dy", "Dy", "Re", "Re", "N", "N", "N", "N", "N", "N", "N", "N"], "frac_coords": [[0.6696, 0.7500, 0.0353], [0.3304, 0.2500, 0.9647], [0.2640, 0.2500, 0.4426], [0.7360, 0.7500, 0.5574], [0.2098, 0.7500, 0.1869], [0.7902, 0.2500, 0.8131], [0.4533, 0.5157, 0.2450], [0.0275, 0.7500, 0.9069], [0.9725, 0.2500, 0.0931], [0.4533, 0.9843, 0.2450], [0.9829, 0.2500, 0.6383], [0.5467, 0.0157, 0.7550], [0.5467, 0.4843, 0.7550], [0.0171, 0.7500, 0.3617]]}

=====

Relative energies with respect to the most stable structure, expressed in kJ/mol of atoms: entry A 5.5; entry B 0.0.

=====

Entry A
{"formula": "Dy4S3N", "functional": "GGA-PBE", "state": "optimized geometry", "cell": [[3.7520, 0.0000, 0.0000], [0.0000, 6.2930, -2.1121], [0.0000, -0.0204, 6.6379]], "species": ["S", "S", "S", "N", "Dy", "Dy", "Dy", "Dy"], "frac_coords": [[0.0000, 0.0000, 0.5000], [0.5000, 0.5000, 0.5000], [0.0000, 0.5000, 0.0000], [0.5000, 0.0000, 0.0000], [0.0000, 0.2167, 0.2167], [0.5000, 0.7712, 0.2288], [0.0000, 0.7833, 0.7833], [0.5000, 0.2288, 0.7712]]}

=====

Entry B
{"formula": "Dy4S3N", "functional": "GGA-PBE", "state": "optimized geometry", "cell": [[-1.6252, -3.7623, -3.5012], [-1.4034, -3.2077, 4.0983], [-4.9441, 2.1472, -0.0124]], "species": ["Dy", "Dy", "Dy", "Dy", "S", "S", "S", "N"], "frac_coords": [[0.5000, 0.0000, 0.0000], [0.0000, 0.5000, 0.0000], [0.0000, 0.0000, 0.5000], [0.5000, 0.5000, 0.5000], [0.0000, 0.5000, 0.5000], [0.5000, 0.0000, 0.5000], [0.5000, 0.5000, 0.0000], [0.0000, 0.0000, 0.0000]]}

=====

Relative energies with respect to the most stable structure, expressed in kJ/mol of atoms: entry A 0.0; entry B 12.0.

=====

Entry A
{"formula": "DyScN", "functional": "GGA-PBE", "state": "optimized geometry", "cell": [[-1.6649, -0.0881, -2.9185], [-0.6544, -5.9615, 0.5533], [-4.5301, 2.7430, 2.5013]], "species": ["Dy", "Dy", "N", "N", "Sc", "Sc"], "frac_coords": [[0.2500, 0.7638, 0.4977], [0.7500, 0.2362, 0.5023], [0.7500, 0.0061, 0.7693], [0.2500, 0.9939, 0.2307], [0.7500, 0.7848, 0.0081], [0.2500, 0.2152, 0.9919]]}

=====

Entry B
{"formula": "DyScN", "functional": "GGA-PBE", "state": "optimized geometry", "cell": [[-2.6823, -1.6369, -1.1957], [2.8765, 0.0106, -1.7405], [1.6775, -4.7527, 2.7434]], "species": ["Sc", "N", "Dy"], "frac_coords": [[0.3333, 0.6667, 0.5468], [0.6667, 0.3333, 0.3510], [0.0000, 0.0000, 0.1022]]}

=====

Relative energies with respect to the most stable structure, expressed in kJ/mol of atoms: entry A 0.0; entry B 4.3.

=====

Entry A
{"formula": "DySc2N", "functional": "GGA-PBE", "state": "optimized geometry", "cell": [[3.2440, 0.0000, 0.0000], [1.6220, 2.8094, 0.0000], [1.6220, 0.9365, 8.9078]], "species": ["Sc", "Sc", "N", "Dy"], "frac_coords": [[0.1217, 0.1217, 0.6348], [0.8783, 0.8783, 0.3652], [0.5000, 0.5000, 0.5000], [0.0000, 0.0000, 0.0000]]}

=====

Entry B
{"formula": "DySc2N", "functional": "GGA-PBE", "state": "optimized geometry", "cell": [[2.9953, 0.0000, 0.0000], [0.0000, 2.9953, 0.0000], [0.0000, 0.0000, 8.2293]], "species": ["Sc", "Sc", "N", "Dy"], "frac_coords": [[0.0000, 0.0000, 0.8459], [0.0000, 0.0000, 0.1541], [0.5000, 0.5000, 0.0000], [0.5000, 0.5000, 0.5000]]}

=====

Relative energies with respect to the most stable structure, expressed in kJ/mol of atoms: entry A 0.0; entry B 49.7.

=====

Entry A
{"formula": "Dy3Se2N", "functional": "GGA-PBE", "state": "optimized geometry", "cell": [[5.5584, 0.0000, 0.0000], [0.0000, 7.9060, -0.0115], [0.0000, -3.8833, 6.8866]], "species": ["Dy", "Dy", "Dy", "Dy", "Dy", "Dy", "Se", "Se", "Se", "Se", "N", "N"], "frac_coords": [[0.9930, 0.8668, 0.5747], [0.4930, 0.4253, 0.1332], [0.9930, 0.5747, 0.8668], [0.4930, 0.1332, 0.4253], [0.4929, 0.8783, 0.8783], [0.9929, 0.1217, 0.1217], [0.4930, 0.8022, 0.4888], [0.9930, 0.5112, 0.1978], [0.4930, 0.4888, 0.8022], [0.9930, 0.1978, 0.5112], [0.9932, 0.8421, 0.8421], [0.4932, 0.1579, 0.1579]]}

=====

Entry B
{"formula": "Dy3Se2N", "functional": "GGA-PBE", "state": "optimized geometry", "cell": [[3.7927, 0.0004, -0.8643], [-0.1960, 3.7875, -0.8648], [0.0235, 0.0260, 8.8599]], "species": ["Dy", "Dy", "Dy", "Se", "Se", "N"], "frac_coords": [[0.9341, 0.9358, 0.8740], [0.2988, 0.3003, 0.6032], [0.5696, 0.5711, 0.1448], [0.1058, 0.1072, 0.2171], [0.7627, 0.7641, 0.5308], [0.4343, 0.4356, 0.8740]]}

=====

Relative energies with respect to the most stable structure, expressed in kJ/mol of atoms: entry A 12.1; entry B 0.0.

=====

Entry A
{"formula": "SmDyN", "functional": "GGA-PBE", "state": "optimized geometry", "cell": [[4.2985, 0.0000, 0.0000], [2.1492, 3.7226, 0.0000], [2.1492, 1.2409, 3.5097]], "species": ["N", "Sm", "Dy"], "frac_coords": [[0.2500, 0.2500, 0.2500], [0.5000, 0.5000, 0.5000], [0.0000, 0.0000, 0.0000]]}

=====

Entry B
{"formula": "SmDyN", "functional": "GGA-PBE", "state": "optimized geometry", "cell": [[-3.2858, -1.2564, 0.3430], [2.7556, -2.2118, 0.0856], [0.3703, 0.6975, 6.1027]], "species": ["N", "Sm", "Dy"], "frac_coords": [[0.6667, 0.3333, 0.3455], [0.0000, 0.0000, 0.1071], [0.3333, 0.6667, 0.5474]]}

=====

Relative energies with respect to the most stable structure, expressed in kJ/mol of atoms: entry A 63.0; entry B 0.0.

=====

Entry A
{"formula": "TbDyN", "functional": "GGA-PBE", "state": "optimized geometry", "cell": [[4.2499, 0.0000, 0.0000], [2.1250, 3.6806, 0.0000], [2.1250, 1.2269, 3.4701]], "species": ["N", "Tb", "Dy"], "frac_coords": [[0.2500, 0.2500, 0.2500], [0.5000, 0.5000, 0.5000], [0.0000, 0.0000, 0.0000]]}

=====

Entry B
{"formula": "TbDyN", "functional": "GGA-PBE", "state": "optimized geometry", "cell": [[-1.4657, 2.5377, 1.9202], [-1.9486, -1.8310, -2.2639], [-1.2637, -4.0021, 4.3245]], "species": ["N", "Tb", "Dy"], "frac_coords": [[0.6667, 0.3333, 0.3358], [0.0000, 0.0000, 0.1097], [0.3333, 0.6667, 0.5545]]}

=====

Relative energies with respect to the most stable structure, expressed in kJ/mol of atoms: entry A 67.1; entry B 0.0.